Material: Tc2GePb2
Method: DFT, PBE-GGA
State: optimized geometry

Calculated total energy = -30.6 eV per formula unit
Formation energy from the elements = 0.429 eV/atom
Crystal system = tetragonal
Mass density = 10.728 g/cm3

The structure in POSCAR format:
```
Tc2GePb2
1.0
6.4988 0.0000 0.0000
0.0000 6.4988 0.0000
0.0000 0.0000 5.0066
Tc Ge Pb
4 2 4
Direct
0.1269 0.3731 0.0000
0.3731 0.8731 0.0000
0.6269 0.1269 0.0000
0.8731 0.6269 0.0000
0.0000 0.0000 0.0000
0.5000 0.5000 0.0000
0.1806 0.6806 0.5000
0.3194 0.1806 0.5000
0.6806 0.8194 0.5000
0.8194 0.3194 0.5000
```

---

Material: TcGeTePb2
Method: DFT, PBE-GGA
State: optimized geometry

Formation energy without anion corrections = 1168.4 meV per atom
Calculated total energy = -19.7 eV per formula unit
Crystal system = tetragonal
Mass density = 6.606 g/cm3

The structure in POSCAR format:
```
TcGeTePb2
1.0
5.9968 0.0000 0.0000
0.0000 5.9968 0.0000
0.0000 0.0000 4.9817
Tc Ge Te Pb
1 1 1 2
Direct
0.0000 0.0000 0.0000
0.5000 0.5000 0.0000
0.0000 0.0000 0.5000
0.0000 0.5000 0.5000
0.5000 0.0000 0.5000
```

---

Material: GeTe4Pb3
Method: DFT, PBE-GGA
State: optimized geometry

Formation energy without anion corrections = -286.5 meV per atom
Calculated total energy = -30.6 eV per formula unit
Excess energy over the best structure of this formula in the dataset = 16 meV per atom
Crystal system = tetragonal
Mass density = 7.480 g/cm3

The structure in POSCAR format:
```
GeTe4Pb3
1.0
4.5538 0.0000 0.0000
0.0000 4.5538 0.0000
0.0000 0.0000 12.8958
Ge Te Pb
1 4 3
Direct
0.0000 0.0000 0.0000
0.0000 0.0000 0.2378
0.0000 0.0000 0.7622
0.5000 0.5000 0.0000
0.5000 0.5000 0.5000
0.0000 0.0000 0.5000
0.5000 0.5000 0.2465
0.5000 0.5000 0.7535
```

---

Material: Ge2Te2Pb
Method: DFT, PBE-GGA
State: optimized geometry

Formation energy without anion corrections = 118.1 meV per atom
Calculated total energy = -18.6 eV per formula unit
Excess energy over the best structure of this formula in the dataset = 59 meV per atom
Crystal system = tetragonal
Mass density = 6.796 g/cm3

The structure in POSCAR format:
```
Ge2Te2Pb
1.0
8.7161 0.0000 0.0000
0.0000 8.7161 0.0000
0.0000 0.0000 3.9089
Ge Te Pb
4 4 2
Direct
0.1872 0.3128 0.0000
0.3128 0.8128 0.0000
0.6872 0.1872 0.0000
0.8128 0.6872 0.0000
0.1540 0.6540 0.5000
0.3460 0.1540 0.5000
0.6540 0.8460 0.5000
0.8460 0.3460 0.5000
0.0000 0.0000 0.5000
0.5000 0.5000 0.5000
```